DFT (PBE) results for a geometry-optimized Ca2CoSe structure.

The structure in extended XYZ format:
```
4
Lattice="-0.873 6.535 -3.971 -2.172 3.627 -6.432 -4.592 5.055 -3.550" Properties=species:S:1:pos:R:3 pbc="T T T"
Ca -0.278 0.554 -0.508
Ca -1.632 3.252 -2.982
Co -3.497 6.968 -6.389
Se -6.048 12.053 -11.050
```

The uncorrected formation energy comes out at -583 meV/atom.

=====

DFT (PBE) results for a geometry-optimized FeHgW2 structure.

The structure in extended XYZ format:
```
4
Lattice="2.800 0.002 0.000 -0.003 2.800 0.000 0.000 0.000 7.992" Properties=species:S:1:pos:R:3 pbc="T T T"
Fe 1.398 1.401 1.998
Hg 1.398 1.401 5.994
W 0.000 0.000 0.314
W 0.000 0.000 3.682
```

The formation energy comes out at 0.480 eV/atom.

=====

DFT (PBE) results for a geometry-optimized Cs2BS3 structure.

The structure in extended XYZ format:
```
12
Lattice="-5.708 3.450 3.883 -3.966 -4.902 -4.450 5.311 -4.520 5.640" Properties=species:S:1:pos:R:3 pbc="T T T"
Cs -1.746 -5.074 0.453
Cs -7.499 -1.126 -0.439
Cs -2.617 -0.898 4.620
Cs -2.175 -0.326 -0.127
B -4.673 -2.543 1.572
B 0.310 -3.429 3.501
S -4.508 -2.953 -0.192
S 0.596 -5.181 3.108
S 0.145 -3.019 5.265
S -4.959 -0.791 1.965
S 0.196 -2.174 2.220
S -4.560 -3.798 2.853
```

The polymorph energy (0 for the lowest one) comes out at 0.000 eV per atom. The uncorrected formation energy comes out at -827 meV/atom.

=====

DFT (PBE) results for a geometry-optimized TaFeOs2 structure.

The structure in extended XYZ format:
```
4
Lattice="-2.139 -0.412 2.140 1.199 -4.302 0.369 2.860 1.060 3.063" Properties=species:S:1:pos:R:3 pbc="T T T"
Fe 2.030 -1.621 1.716
Os 0.000 0.000 0.000
Os -0.470 -2.357 1.254
Ta 0.361 0.324 2.602
```

The formation energy comes out at 0.121 eV/atom.